The following is a PBE calculation of a relaxed structure of ZnFeGeW2, from the Alexandria database.

```
ZnFeGeW2
1.0
-3.9190 -2.5179 0.2228
2.0803 -2.9792 2.9231
-1.3422 2.3891 3.3902
Ge Zn W Fe
1 1 2 1
Direct
0.0000 0.0000 0.0000
0.0000 0.0000 0.5000
0.0000 0.5000 0.0000
0.5000 0.0000 0.0000
0.5000 0.5000 0.5000
```

* symmetry: P4/mmm, No. 123
* final energy: -6.3711 eV per atom
* M_tot: 3.6 μB per cell
* E_form: 1.681 eV/atom

The following is a PBE calculation of a relaxed structure of Ac2PmPt2, from the Alexandria database.

```
Ac2PmPt2
1.0
-5.8277 -2.8528 1.3319
0.2338 -5.6394 5.4145
-3.1185 1.9089 6.9141
Ac Pm Pt
4 2 4
Direct
0.3467 0.2910 0.0157
0.6533 0.7090 0.9843
0.1533 0.9843 0.7090
0.8467 0.0157 0.2910
0.2500 0.5000 0.5000
0.7500 0.5000 0.5000
0.1026 0.6615 0.1333
0.8974 0.3385 0.8667
0.3974 0.8667 0.3385
0.6026 0.1333 0.6615
```

* symmetry: Ibam, No. 72
* final energy: -5.9053 eV per atom
* M_tot: 0.0 μB per cell
* E_form: -0.896 eV/atom

The following is a PBE calculation of a relaxed structure of CSeF3, from the Alexandria database.

```
CSeF3
1.0
4.0020 0.0000 0.0000
0.0000 4.0020 0.0000
0.0000 0.0000 4.0020
C Se F
1 1 3
Direct
0.0000 0.0000 0.0000
0.5000 0.5000 0.5000
0.0000 0.5000 0.0000
0.0000 0.0000 0.5000
0.5000 0.0000 0.0000
```

* symmetry: Pm-3m, No. 221
* final energy: -3.1548 eV per atom
* M_tot: 3.0 μB per cell
* uncorrected formation energy: 510 meV/atom

The following is a PBE calculation of a relaxed structure of GdErCdPd, from the Alexandria database.

```
GdErCdPd
1.0
-3.0595 -0.4525 -4.0878
-4.4880 -2.4414 0.4154
-4.3860 2.6434 -0.2238
Cd Gd Pd Er
1 1 1 1
Direct
0.7500 0.7500 0.7500
0.0000 0.0000 0.0000
0.2500 0.2500 0.2500
0.5000 0.5000 0.5000
```

* symmetry: F-43m, No. 216
* final energy: -6.7332 eV per atom
* M_tot: 7.1 μB per cell
* E_form: -0.545 eV/atom

The following is a PBE calculation of a relaxed structure of KTi2HW, from the Alexandria database.

```
KTi2HW
1.0
-1.3844 0.8424 -4.1874
-4.2214 -0.9406 1.2064
-0.6711 4.4427 1.1156
H K W Ti
1 1 1 2
Direct
0.5000 0.5000 0.5000
0.0000 0.0000 0.0000
0.0000 0.0000 0.5000
0.0000 0.5000 0.0000
0.5000 0.0000 0.0000
```

* symmetry: P4/mmm, No. 123
* final energy: -3.4060 eV per atom
* M_tot: 1.7 μB per cell

The following is a PBE calculation of a relaxed structure of VNiRh3, from the Alexandria database.

```
VNiRh3
1.0
4.3298 0.0685 1.3324
1.1826 4.3552 0.3697
0.1603 0.0215 7.1834
V Ni Rh
2 2 6
Direct
0.3596 0.3450 0.9991
0.0515 0.8438 0.6154
0.8541 0.8442 0.0099
0.5570 0.3446 0.6047
0.1481 0.3447 0.4225
0.9515 0.3441 0.8148
0.6543 0.8445 0.4093
0.7568 0.3443 0.2052
0.2630 0.8441 0.1920
0.4596 0.8447 0.7997
```

* symmetry: P-1, No. 2
* final energy: -7.6120 eV per atom
* M_tot: 0.0 μB per cell
* E_form: -0.221 eV/atom

The following is a PBE calculation of a relaxed structure of CePaBiN2, from the Alexandria database.

```
CePaBiN2
1.0
3.9950 0.0000 0.0000
0.0000 3.9950 0.0000
-1.9975 -1.9975 6.4584
Ce Pa Bi N
1 1 1 2
Direct
0.8410 0.8410 0.6821
0.1669 0.1669 0.3337
0.5032 0.5032 0.0064
0.7444 0.2444 0.4889
0.2444 0.7444 0.4889
```

* symmetry: I4mm, No. 107
* final energy: -8.6429 eV per atom
* M_tot: 0.3 μB per cell
* uncorrected formation energy: -1451 meV/atom

The following is a PBE calculation of a relaxed structure of RbNaEu, from the Alexandria database.

```
RbNaEu
1.0
-0.2734 -1.7278 3.7952
-1.5141 -2.0208 -3.3298
9.4402 -4.6816 -1.4514
Eu Na Rb
1 1 1
Direct
0.3333 0.6667 0.6417
0.6667 0.3333 0.3519
0.0000 0.0000 0.0064
```

* symmetry: P3m1, No. 156
* final energy: -4.0311 eV per atom
* M_tot: 7.7 μB per cell
* E_form: 0.156 eV/atom

The following is a PBE calculation of a relaxed structure of TcNO2F, from the Alexandria database.

```
TcNO2F
1.0
3.7598 0.0000 0.0000
0.0000 3.7598 0.0000
0.0000 0.0000 3.5547
N Tc O F
1 1 2 1
Direct
0.0000 0.0000 0.0000
0.5000 0.5000 0.5000
0.0000 0.5000 0.0000
0.5000 0.0000 0.0000
0.0000 0.0000 0.5000
```

* symmetry: P4/mmm, No. 123
* final energy: -5.0751 eV per atom
* M_tot: 4.7 μB per cell
* uncorrected formation energy: 1021 meV/atom

The following is a PBE calculation of a relaxed structure of Mg3TcF, from the Alexandria database.

```
Mg3TcF
1.0
4.2608 0.0000 0.0000
0.0000 4.2608 0.0000
0.0000 0.0000 4.2608
Mg Tc F
3 1 1
Direct
0.0000 0.5000 0.0000
0.0000 0.0000 0.5000
0.5000 0.0000 0.0000
0.5000 0.5000 0.5000
0.0000 0.0000 0.0000
```

* symmetry: Pm-3m, No. 221
* final energy: -4.0229 eV per atom
* M_tot: 0.0 μB per cell
* uncorrected formation energy: -619 meV/atom

Q: Which formula does entry 8 have?
A: RbNaEu